No. 1
Density functional theory data (PBE) for a relaxed structure of Ba3GaMo.

## Properties
- Formation energy: 708 meV/atom
- Excess energy over the best structure of this formula in the dataset: 0 meV per atom
- Final energy: -3.2168 eV per atom

```
Ba3GaMo
1.0
-5.8447 0.9192 0.0125
-0.9192 -5.8426 -0.1584
-0.0123 -0.1584 5.9144
Mo Ba Ga
1 3 1
Direct
0.0000 0.0000 0.0000
0.0000 0.5000 0.0000
0.0000 0.0000 0.5000
0.5000 0.0000 0.0000
0.5000 0.5000 0.5000
```

No. 2
Density functional theory data (PBE) for a relaxed structure of BiPd5Pb.

## Properties
- Formation energy: -217 meV/atom
- Final energy: -5.0101 eV per atom

```
BiPd5Pb
1.0
-4.1025 0.3439 3.3789
-0.3026 -5.2892 -0.5465
7.8275 1.3193 5.6839
Bi Pd Pb
2 10 2
Direct
0.0000 0.0000 0.0000
0.0000 0.0000 0.5000
0.9779 0.6111 0.1540
0.2329 0.5448 0.4618
0.6111 0.9779 0.6540
0.8489 0.1511 0.2500
0.4552 0.7671 0.0382
0.5448 0.2329 0.9618
0.1511 0.8489 0.7500
0.3889 0.0221 0.3460
0.7671 0.4552 0.5382
0.0221 0.3889 0.8460
0.5003 0.4997 0.2500
0.4997 0.5003 0.7500
```

No. 3
Density functional theory data (PBE) for a relaxed structure of BaAlAg.

## Properties
- Formation energy: -189 meV/atom
- Final energy: -3.0275 eV per atom

```
BaAlAg
1.0
4.7120 0.0000 0.0000
-2.3560 4.0808 0.0000
0.0000 0.0000 4.7851
Ba Ag Al
1 1 1
Direct
0.3333 0.6667 0.6666
0.0000 0.0000 0.1667
0.6667 0.3333 0.1667
```

No. 4
Density functional theory data (PBE) for a relaxed structure of NdYNi2P2.

## Properties
- Formation energy: -1191 meV/atom
- Final energy: -6.7936 eV per atom

```
NdYNi2P2
1.0
3.9226 0.0000 0.0000
-1.9613 3.3971 0.0000
0.0000 0.0000 7.9716
Nd Y Ni P
1 1 2 2
Direct
0.0000 0.0000 0.0000
0.0000 0.0000 0.5000
0.6667 0.3333 0.2553
0.3333 0.6667 0.7447
0.6667 0.3333 0.7405
0.3333 0.6667 0.2595
```

No. 5
Density functional theory data (PBE) for a relaxed structure of Co2HgPb.

## Properties
- Formation energy: 478 meV/atom
- Excess energy over the best structure of this formula in the dataset: 125 meV per atom
- Final energy: -4.0773 eV per atom

```
Co2HgPb
1.0
8.6553 0.0850 0.0504
7.9995 3.3058 0.0504
7.9995 1.6286 2.8772
Co Hg Pb
2 1 1
Direct
0.9806 0.9806 0.9806
0.2663 0.2663 0.2663
0.5175 0.5175 0.5175
0.7356 0.7356 0.7356
```

No. 6
Density functional theory data (PBE) for a relaxed structure of In2CO.

## Properties
- E_form (uncorrected): 0.758 eV/atom
- Excess energy over the best structure of this formula in the dataset: 883 meV per atom
- Final energy: -4.1564 eV per atom

```
In2CO
1.0
-1.8665 0.8257 3.7322
-2.8863 -2.6974 1.5774
0.9357 -2.3588 3.4140
C O In
1 1 2
Direct
0.0000 0.0000 0.0000
0.5000 0.5000 0.5000
0.2500 0.2500 0.2500
0.7500 0.7500 0.7500
```

No. 7
Density functional theory data (PBE) for a relaxed structure of NaSr3Nb.

## Properties
- Formation energy: 753 meV/atom
- Excess energy over the best structure of this formula in the dataset: 0 meV per atom
- Final energy: -2.5343 eV per atom

```
NaSr3Nb
1.0
-3.8537 -0.8008 4.5886
2.8880 -5.0834 1.5383
3.6546 3.1726 3.6230
Sr Nb Na
3 1 1
Direct
0.0000 0.5000 0.0000
0.0000 0.0000 0.5000
0.5000 0.0000 0.0000
0.0000 0.0000 0.0000
0.5000 0.5000 0.5000
```

No. 8
Density functional theory data (PBE) for a relaxed structure of TiTcNi.

## Properties
- Formation energy: -220 meV/atom
- Excess energy over the best structure of this formula in the dataset: 58 meV per atom
- Final energy: -8.2345 eV per atom

```
TiTcNi
1.0
5.2480 0.0000 0.0257
0.0000 4.1616 0.0000
-5.1226 0.0000 7.5675
Ni Tc Ti
4 4 4
Direct
0.5370 0.0000 0.6097
0.5370 0.5000 0.1097
0.8815 0.0000 0.2798
0.8815 0.5000 0.7798
0.7089 0.0000 0.9369
0.7089 0.5000 0.4369
0.3745 0.0000 0.2661
0.3745 0.5000 0.7661
0.0194 0.0000 0.6096
0.0194 0.5000 0.1096
0.2237 0.0000 0.9512
0.2237 0.5000 0.4512
```

No. 9
Density functional theory data (PBE) for a relaxed structure of ScCuW2.

## Properties
- Formation energy: 250 meV/atom
- Excess energy over the best structure of this formula in the dataset: 93 meV per atom
- Final energy: -8.8335 eV per atom

```
ScCuW2
1.0
4.5488 0.0000 0.0000
0.0000 3.7963 0.0000
0.0000 0.0000 3.7963
Cu Sc W
1 1 2
Direct
0.5000 0.5000 0.0000
0.5000 0.0000 0.5000
0.0000 0.0000 0.0000
0.0000 0.5000 0.5000
```

No. 10
Density functional theory data (PBE) for a relaxed structure of Y2NiBr.

## Properties
- E_form (uncorrected): -0.415 eV/atom
- Excess energy over the best structure of this formula in the dataset: 388 meV per atom
- Final energy: -5.5105 eV per atom

```
Y2NiBr
1.0
-2.9450 -4.3425 0.8828
3.3000 -3.3957 -2.4266
0.3647 3.2036 4.2324
Br Ni Y
1 1 2
Direct
0.7500 0.2500 0.5000
0.2500 0.7500 0.5000
0.0142 0.0142 0.0000
0.4858 0.4858 0.0000
```

No. 11
Density functional theory data (PBE) for a relaxed structure of SmHo2CdAu4.

## Properties
- Formation energy: -748 meV/atom
- Final energy: -4.2352 eV per atom

```
SmHo2CdAu4
1.0
5.0277 0.0000 0.0000
2.5138 4.3541 0.0000
2.5138 1.4514 8.2806
Sm Ho Cd Au
1 2 1 4
Direct
0.0000 0.0000 0.0000
0.7576 0.7576 0.7271
0.2424 0.2424 0.2729
0.5000 0.5000 0.5000
0.3711 0.3711 0.8866
0.8788 0.8788 0.3637
0.1212 0.1212 0.6363
0.6289 0.6289 0.1134
```

Which of these has the lowest final energy? ScCuW2

Look up the final energy of the first one. -3.2168 eV per atom

What is the formula in the third record? BaAlAg